Record 1
Below is a relaxed TcMo2Au crystal, with properties calculated at the GGA-PBE level.

Geometry as POSCAR:
```
TcMo2Au
1.0
6.357 0.000 0.000
0.000 6.357 0.000
0.000 0.000 6.357
Tc Mo Au
4 8 4
Direct
0.000 0.000 0.000
0.000 0.500 0.500
0.500 0.000 0.500
0.500 0.500 0.000
0.000 0.000 0.500
0.000 0.500 0.000
0.250 0.250 0.750
0.250 0.750 0.250
0.500 0.000 0.000
0.500 0.500 0.500
0.750 0.250 0.250
0.750 0.750 0.750
0.250 0.250 0.250
0.250 0.750 0.750
0.750 0.250 0.750
0.750 0.750 0.250
```

Values from the calculation:
Offset from the most stable computed form ... 254 meV/atom
Symmetry ... No. 216
ΔH_f (0 K) ... 0.400 eV/atom



Record 2
Below is a relaxed TcMoAu crystal, with properties calculated at the GGA-PBE level.

Geometry as POSCAR:
```
TcMoAu
1.0
2.823 0.000 0.000
0.000 2.823 0.000
0.000 0.000 12.152
Tc Mo Au
2 2 2
Direct
0.000 0.000 0.000
0.500 0.500 0.500
0.000 0.000 0.647
0.500 0.500 0.147
0.000 0.000 0.325
0.500 0.500 0.825
```

Values from the calculation:
Offset from the most stable computed form ... 35 meV/atom
Symmetry ... No. 107
ΔH_f (0 K) ... 0.264 eV/atom



Record 3
Below is a relaxed TcMo2Au crystal, with properties calculated at the GGA-PBE level.

Geometry as POSCAR:
```
TcMo2Au
1.0
2.801 0.000 0.000
-1.401 2.426 0.000
0.000 0.000 28.222
Tc Mo Au
3 6 3
Direct
0.000 0.000 0.000
0.333 0.667 0.667
0.667 0.333 0.333
0.000 0.000 0.254
0.000 0.000 0.746
0.333 0.667 0.412
0.333 0.667 0.921
0.667 0.333 0.079
0.667 0.333 0.588
0.000 0.000 0.500
0.333 0.667 0.167
0.667 0.333 0.833
```

Values from the calculation:
Offset from the most stable computed form ... 86 meV/atom
Symmetry ... No. 166
ΔH_f (0 K) ... 0.232 eV/atom



Record 4
Below is a relaxed TcMo2Au crystal, with properties calculated at the GGA-PBE level.

Geometry as POSCAR:
```
TcMo2Au
1.0
3.320 0.000 0.000
0.000 3.320 0.000
0.000 0.000 5.866
Tc Mo Au
1 2 1
Direct
0.000 0.000 0.000
0.000 0.000 0.549
0.500 0.500 0.783
0.500 0.500 0.277
```

Values from the calculation:
Offset from the most stable computed form ... 81 meV/atom
Symmetry ... No. 99
ΔH_f (0 K) ... 0.227 eV/atom



Record 5
Below is a relaxed Tc2MoAu crystal, with properties calculated at the GGA-PBE level.

Geometry as POSCAR:
```
Tc2MoAu
1.0
3.987 0.000 0.000
0.000 3.987 0.000
0.000 0.000 7.795
Tc Mo Au
4 2 2
Direct
0.000 0.500 0.250
0.000 0.500 0.750
0.500 0.000 0.250
0.500 0.000 0.750
0.000 0.000 0.000
0.500 0.500 0.500
0.000 0.000 0.500
0.500 0.500 0.000
```

Values from the calculation:
Offset from the most stable computed form ... 64 meV/atom
Symmetry ... No. 139
ΔH_f (0 K) ... 0.227 eV/atom



Record 6
Below is a relaxed Tc2MoAu crystal, with properties calculated at the GGA-PBE level.

Geometry as POSCAR:
```
Tc2MoAu
1.0
3.334 0.000 0.000
0.000 3.334 0.000
0.000 0.000 5.777
Tc Mo Au
2 1 1
Direct
0.000 0.000 0.000
0.500 0.500 0.207
0.500 0.500 0.775
0.000 0.000 0.492
```

Values from the calculation:
Offset from the most stable computed form ... 131 meV/atom
Symmetry ... No. 99
ΔH_f (0 K) ... 0.294 eV/atom



Record 7
Below is a relaxed TcMo2Au crystal, with properties calculated at the GGA-PBE level.

Geometry as POSCAR:
```
TcMo2Au
1.0
2.708 0.000 0.000
0.000 4.242 0.000
-0.632 0.000 5.591
Tc Mo Au
1 2 1
Direct
0.000 0.000 0.000
0.150 0.000 0.529
0.589 0.500 0.777
0.577 0.500 0.269
```

Values from the calculation:
Offset from the most stable computed form ... 99 meV/atom
Symmetry ... No. 6
ΔH_f (0 K) ... 0.245 eV/atom



Record 8
Below is a relaxed TcMoAu2 crystal, with properties calculated at the GGA-PBE level.

Geometry as POSCAR:
```
TcMoAu2
1.0
6.426 0.000 0.000
0.000 6.426 0.000
0.000 0.000 6.426
Tc Mo Au
4 4 8
Direct
0.000 0.000 0.000
0.000 0.500 0.500
0.500 0.000 0.500
0.500 0.500 0.000
0.000 0.000 0.500
0.000 0.500 0.000
0.500 0.000 0.000
0.500 0.500 0.500
0.250 0.250 0.250
0.250 0.250 0.750
0.250 0.750 0.250
0.250 0.750 0.750
0.750 0.250 0.250
0.750 0.250 0.750
0.750 0.750 0.250
0.750 0.750 0.750
```

Values from the calculation:
Offset from the most stable computed form ... 410 meV/atom
Symmetry ... No. 225
ΔH_f (0 K) ... 0.601 eV/atom



Record 9
Below is a relaxed TcMoAu2 crystal, with properties calculated at the GGA-PBE level.

Geometry as POSCAR:
```
TcMoAu2
1.0
5.446 0.000 0.000
0.000 5.471 0.000
0.000 0.000 8.759
Tc Mo Au
4 4 8
Direct
0.000 0.000 0.000
0.000 0.500 0.500
0.500 0.000 0.500
0.500 0.500 0.000
0.000 0.000 0.500
0.000 0.500 0.000
0.500 0.000 0.000
0.500 0.500 0.500
0.250 0.250 0.250
0.250 0.250 0.750
0.250 0.750 0.250
0.250 0.750 0.750
0.750 0.250 0.250
0.750 0.250 0.750
0.750 0.750 0.250
0.750 0.750 0.750
```

Values from the calculation:
Offset from the most stable computed form ... 121 meV/atom
Symmetry ... No. 69
ΔH_f (0 K) ... 0.312 eV/atom



Record 10
Below is a relaxed TcMo2Au crystal, with properties calculated at the GGA-PBE level.

Geometry as POSCAR:
```
TcMo2Au
1.0
4.007 0.000 0.000
0.000 4.007 0.000
0.000 0.000 7.868
Tc Mo Au
2 4 2
Direct
0.000 0.000 0.000
0.500 0.500 0.500
0.000 0.000 0.500
0.000 0.500 0.750
0.500 0.000 0.250
0.500 0.500 0.000
0.000 0.500 0.250
0.500 0.000 0.750
```

Values from the calculation:
Offset from the most stable computed form ... 74 meV/atom
Symmetry ... No. 119
ΔH_f (0 K) ... 0.219 eV/atom



Record 11
Below is a relaxed TcMoAu2 crystal, with properties calculated at the GGA-PBE level.

Geometry as POSCAR:
```
TcMoAu2
1.0
9.716 0.000 0.000
0.000 2.806 0.000
-0.803 0.000 4.800
Tc Mo Au
2 2 4
Direct
0.000 0.000 0.000
0.500 0.500 0.000
0.000 0.500 0.500
0.500 0.000 0.500
0.249 0.500 0.250
0.251 0.000 0.750
0.749 0.000 0.250
0.751 0.500 0.750
```

Values from the calculation:
Offset from the most stable computed form ... 158 meV/atom
Symmetry ... No. 12
ΔH_f (0 K) ... 0.349 eV/atom



Record 12
Below is a relaxed TcMo2Au crystal, with properties calculated at the GGA-PBE level.

Geometry as POSCAR:
```
TcMo2Au
1.0
2.776 0.000 0.000
0.000 2.776 0.000
0.000 0.000 8.341
Tc Mo Au
1 2 1
Direct
0.000 0.000 0.000
0.000 0.000 0.527
0.500 0.500 0.777
0.500 0.500 0.264
```

Values from the calculation:
Offset from the most stable computed form ... 110 meV/atom
Symmetry ... No. 99
ΔH_f (0 K) ... 0.256 eV/atom



Record 13
Below is a relaxed TeMo2Au crystal, with properties calculated at the GGA-PBE level.

Geometry as POSCAR:
```
TeMo2Au
1.0
6.659 0.000 0.000
0.000 6.659 0.000
0.000 0.000 6.659
Te Mo Au
4 8 4
Direct
0.000 0.000 0.000
0.000 0.500 0.500
0.500 0.000 0.500
0.500 0.500 0.000
0.000 0.000 0.500
0.000 0.500 0.000
0.250 0.250 0.750
0.250 0.750 0.250
0.500 0.000 0.000
0.500 0.500 0.500
0.750 0.250 0.250
0.750 0.750 0.750
0.250 0.250 0.250
0.250 0.750 0.750
0.750 0.250 0.750
0.750 0.750 0.250
```

Values from the calculation:
Formation energy from raw total energies ... 682.0 meV per atom
Symmetry ... No. 216



Record 14
Below is a relaxed TeMoAu2 crystal, with properties calculated at the GGA-PBE level.

Geometry as POSCAR:
```
TeMoAu2
1.0
3.233 0.000 0.000
-1.617 2.800 0.000
0.000 0.000 26.731
Te Mo Au
3 3 6
Direct
0.000 0.000 0.000
0.333 0.667 0.667
0.667 0.333 0.333
0.000 0.000 0.740
0.333 0.667 0.407
0.667 0.333 0.074
0.000 0.000 0.232
0.000 0.000 0.485
0.333 0.667 0.152
0.333 0.667 0.899
0.667 0.333 0.566
0.667 0.333 0.818
```

Values from the calculation:
Formation energy from raw total energies ... 268.0 meV per atom
Symmetry ... No. 160



Record 15
Below is a relaxed TeMoAu2 crystal, with properties calculated at the GGA-PBE level.

Geometry as POSCAR:
```
TeMoAu2
1.0
3.130 0.000 0.000
0.000 4.429 0.000
0.000 0.000 11.816
Te Mo Au
2 2 4
Direct
0.000 0.000 0.000
0.500 0.500 0.500
0.000 0.000 0.500
0.500 0.500 0.000
0.000 0.500 0.205
0.000 0.500 0.795
0.500 0.000 0.295
0.500 0.000 0.705
```

Values from the calculation:
Formation energy from raw total energies ... 407.7 meV per atom
Symmetry ... No. 71



Computed total magnetization (μB per atom) in order:
0.000, 0.000, 0.000, 0.000, 0.000, 0.000, 0.000, 0.000, 0.000, 0.000, 0.000, 0.000, 0.151, 0.000, 0.000
Computed electronic total energy (eV per atom) in order:
-8.43, -7.89, -8.59, -8.60, -8.48, -8.42, -8.58, -6.34, -6.63, -8.61, -6.59, -8.57, -6.34, -4.86, -4.72